Computed, not measured: a PBEsol-optimized structure of Nb2TlMoAu at the meta-GGA SCAN level of DFT.

As for the magnetization: 1.8 μB per cell. As for the formation energy from the elements: 1.728 eV per atom.

a = 4.942 Å, b = 4.942 Å, c = 4.906 Å
α = 90.00°, β = 90.00°, γ = 90.00°
Space group P4/mmm (No. 123)
Unique sites:
Nb (0.000, 0.500, 0.000) [2 per cell]
Tl (0.000, 0.000, 0.500) [1 per cell]
Mo (0.500, 0.500, 0.500) [1 per cell]
Au (0.000, 0.000, 0.000) [1 per cell]

***

Computed, not measured: a PBEsol-optimized structure of Zr3AlAg at the meta-GGA SCAN level of DFT.

As for the magnetization: 0.0 μB per cell. As for the formation energy from the elements: 0.713 eV per atom.

a = 4.933 Å, b = 4.933 Å, c = 4.933 Å
α = 90.00°, β = 90.00°, γ = 90.00°
Space group Pm-3m (No. 221)
Unique sites:
Zr (0.000, 0.000, 0.500) [3 per cell]
Al (0.000, 0.000, 0.000) [1 per cell]
Ag (0.500, 0.500, 0.500) [1 per cell]

***

Computed, not measured: a PBEsol-optimized structure of Li2AlTl at the meta-GGA SCAN level of DFT.

As for the magnetization: 0.0 μB per cell. As for the formation energy from the elements: -0.186 eV per atom.

a = 4.632 Å, b = 4.632 Å, c = 3.262 Å
α = 90.00°, β = 90.00°, γ = 90.00°
Space group P4/mmm (No. 123)
Unique sites:
Li (0.000, 0.500, 0.000) [2 per cell]
Al (0.000, 0.000, 0.500) [1 per cell]
Tl (0.500, 0.500, 0.500) [1 per cell]

***

Computed, not measured: a PBEsol-optimized structure of CdBiO2F at the meta-GGA SCAN level of DFT.

The value obtained for the formation energy without anion corrections is -0.856 eV per atom. As for the magnetization: 0.0 μB per cell.

a = 4.364 Å, b = 4.364 Å, c = 4.425 Å
α = 90.00°, β = 90.00°, γ = 90.00°
Space group P4/mmm (No. 123)
Unique sites:
Cd (0.000, 0.000, 0.000) [1 per cell]
Bi (0.500, 0.500, 0.500) [1 per cell]
O (0.000, 0.500, 0.500) [2 per cell]
F (0.500, 0.500, 0.000) [1 per cell]

***

Computed, not measured: a PBEsol-optimized structure of KEr2CuSe4 at the meta-GGA SCAN level of DFT.

The value obtained for the formation energy without anion corrections is -1.692 eV per atom. As for the magnetization: 0.0 μB per cell.

a = 4.017 Å, b = 13.739 Å, c = 14.038 Å
α = 90.00°, β = 90.00°, γ = 90.00°
Space group Cmcm (No. 63)
Unique sites:
K (0.000, 0.113, 0.250) [4 per cell]
Er (0.000, 0.366, 0.065) [8 per cell]
Cu (0.000, 0.160, 0.750) [4 per cell]
Se (0.000, 0.000, 0.000) [4 per cell]
Se (0.000, 0.266, 0.612) [8 per cell]
Se (0.000, 0.437, 0.250) [4 per cell]

***

Computed, not measured: a PBEsol-optimized structure of Li5Mg at the meta-GGA SCAN level of DFT.

The excess energy over the best structure of this formula in the dataset comes out at 10 meV/atom. As for the magnetization: 0.1 μB per cell. As for the formation energy from the elements: -0.014 eV per atom.

a = 5.2688 Å, b = 5.2688 Å, c = 4.9426 Å
α = 90.00°, β = 90.00°, γ = 120.00°
Space group P-62m (No. 189)
Unique sites:
Li (0.0000, 0.6651, 0.0000) [3 per cell]
Li (0.3333, 0.6667, 0.5000) [2 per cell]
Mg (0.0000, 0.0000, 0.5000) [1 per cell]

***

Computed, not measured: a PBEsol-optimized structure of Li6V5O12 at the meta-GGA SCAN level of DFT.

The value obtained for the formation energy without anion corrections is -2.544 eV per atom. As for the magnetization: 14.0 μB per cell.

a = 5.088 Å, b = 8.360 Å, c = 9.332 Å
α = 90.00°, β = 98.37°, γ = 90.00°
Space group C2 (No. 5)
Unique sites:
Li (0.000, 0.000, 0.000) [2 per cell]
Li (0.000, 0.322, 0.000) [2 per cell]
Li (0.238, 0.168, 0.245) [4 per cell]
Li (0.248, 0.983, 0.754) [4 per cell]
V (0.000, 0.148, 0.500) [2 per cell]
V (0.000, 0.510, 0.500) [2 per cell]
V (0.000, 0.652, 0.000) [2 per cell]
V (0.243, 0.831, 0.239) [4 per cell]
O (0.080, 0.328, 0.374) [4 per cell]
O (0.102, 0.819, 0.872) [4 per cell]
O (0.127, 0.491, 0.876) [4 per cell]
O (0.148, 0.998, 0.377) [4 per cell]
O (0.150, 0.164, 0.877) [4 per cell]
O (0.151, 0.659, 0.378) [4 per cell]

***

Computed, not measured: a PBEsol-optimized structure of CdInOsS2 at the meta-GGA SCAN level of DFT.

The value obtained for the formation energy without anion corrections is 1.555 eV per atom. As for the magnetization: 4.7 μB per cell.

a = 4.854 Å, b = 4.854 Å, c = 5.466 Å
α = 90.00°, β = 90.00°, γ = 90.00°
Space group P4/mmm (No. 123)
Unique sites:
Cd (0.000, 0.000, 0.000) [1 per cell]
In (0.000, 0.000, 0.500) [1 per cell]
Os (0.500, 0.500, 0.000) [1 per cell]
S (0.000, 0.500, 0.500) [2 per cell]

***

Computed, not measured: a PBEsol-optimized structure of NbBiTe2I at the meta-GGA SCAN level of DFT.

The value obtained for the formation energy without anion corrections is 0.301 eV per atom. As for the magnetization: 1.8 μB per cell.

a = 5.379 Å, b = 5.379 Å, c = 5.405 Å
α = 90.00°, β = 90.00°, γ = 90.00°
Space group P4/mmm (No. 123)
Unique sites:
Nb (0.000, 0.000, 0.000) [1 per cell]
Bi (0.500, 0.500, 0.500) [1 per cell]
Te (0.000, 0.500, 0.000) [2 per cell]
I (0.000, 0.000, 0.500) [1 per cell]

***

Computed, not measured: a PBEsol-optimized structure of Mg7Si8O24 at the meta-GGA SCAN level of DFT.

The value obtained for the formation energy without anion corrections is -2.951 eV per atom. As for the magnetization: 4.1 μB per cell.

a = 9.615 Å, b = 18.035 Å, c = 5.318 Å
α = 90.00°, β = 99.92°, γ = 90.00°
Space group C2/m (No. 12)
Unique sites:
Mg (0.000, 0.000, 0.000) [2 per cell]
Mg (0.000, 0.094, 0.500) [4 per cell]
Mg (0.000, 0.179, 0.000) [4 per cell]
Mg (0.000, 0.262, 0.500) [4 per cell]
Si (0.207, 0.329, 0.246) [8 per cell]
Si (0.217, 0.415, 0.754) [8 per cell]
O (0.088, 0.000, 0.666) [4 per cell]
O (0.111, 0.089, 0.196) [8 per cell]
O (0.119, 0.253, 0.221) [8 per cell]
O (0.120, 0.177, 0.703) [8 per cell]
O (0.152, 0.364, 0.504) [8 per cell]
O (0.157, 0.383, 0.999) [8 per cell]
O (0.163, 0.500, 0.702) [4 per cell]

***

Computed, not measured: a PBEsol-optimized structure of RbBaTe3 at the meta-GGA SCAN level of DFT.

The value obtained for the formation energy without anion corrections is -0.176 eV per atom. As for the magnetization: 0.0 μB per cell.

a = 6.014 Å, b = 6.014 Å, c = 6.014 Å
α = 90.00°, β = 90.00°, γ = 90.00°
Space group Pm-3m (No. 221)
Unique sites:
Rb (0.000, 0.000, 0.000) [1 per cell]
Ba (0.500, 0.500, 0.500) [1 per cell]
Te (0.000, 0.000, 0.500) [3 per cell]

***

Computed, not measured: a PBEsol-optimized structure of MoAsW at the meta-GGA SCAN level of DFT.

The excess energy over the best structure of this formula in the dataset comes out at 0 meV/atom. As for the magnetization: 0.0 μB per cell. As for the formation energy from the elements: 0.277 eV per atom.

a = 3.207 Å, b = 4.510 Å, c = 6.699 Å
α = 90.00°, β = 90.00°, γ = 90.00°
Space group Cmm2 (No. 35)
Unique sites:
Mo (0.000, 0.000, 0.000) [2 per cell]
As (0.000, 0.500, 0.302) [2 per cell]
W (0.000, 0.500, 0.680) [2 per cell]

***

Computed, not measured: a PBEsol-optimized structure of NiAs at the meta-GGA SCAN level of DFT.

As for the magnetization: 0.0 μB per cell. As for the formation energy from the elements: -0.056 eV per atom.

a = 3.9893 Å, b = 3.9893 Å, c = 4.7889 Å
α = 90.00°, β = 90.00°, γ = 120.00°
Space group P6_3/mmc (No. 194)
Unique sites:
Ni (0.3333, 0.6667, 0.2500) [2 per cell]
As (0.3333, 0.6667, 0.7500) [2 per cell]

***

Computed, not measured: a PBEsol-optimized structure of Ga2SnHg at the meta-GGA SCAN level of DFT.

The excess energy over the best structure of this formula in the dataset comes out at 33 meV/atom. As for the magnetization: 0.0 μB per cell. As for the formation energy from the elements: 0.194 eV per atom.

a = 7.010 Å, b = 7.010 Å, c = 7.010 Å
α = 90.00°, β = 90.00°, γ = 90.00°
Space group Fm-3m (No. 225)
Unique sites:
Ga (0.250, 0.250, 0.250) [8 per cell]
Sn (0.000, 0.000, 0.000) [4 per cell]
Hg (0.000, 0.000, 0.500) [4 per cell]

***

Computed, not measured: a PBEsol-optimized structure of Be24Re5 at the meta-GGA SCAN level of DFT.

As for the magnetization: 0.0 μB per cell. As for the formation energy from the elements: -0.173 eV per atom.

a = 8.104 Å, b = 8.104 Å, c = 8.104 Å
α = 90.00°, β = 90.00°, γ = 90.00°
Space group I-43m (No. 217)
Unique sites:
Be (0.031, 0.348, 0.652) [24 per cell]
Be (0.092, 0.092, 0.720) [24 per cell]
Re (0.000, 0.000, 0.000) [2 per cell]
Re (0.191, 0.191, 0.191) [8 per cell]

***

Computed, not measured: a PBEsol-optimized structure of TlIn2Br at the meta-GGA SCAN level of DFT.

The excess energy over the best structure of this formula in the dataset comes out at 0 meV/atom. The value obtained for the formation energy without anion corrections is -0.214 eV per atom. As for the magnetization: 0.0 μB per cell.

a = 3.553 Å, b = 5.467 Å, c = 11.155 Å
α = 90.00°, β = 90.00°, γ = 90.00°
Space group Immm (No. 71)
Unique sites:
Tl (0.000, 0.000, 0.000) [2 per cell]
In (0.000, 0.500, 0.249) [4 per cell]
Br (0.000, 0.000, 0.500) [2 per cell]

***

Computed, not measured: a PBEsol-optimized structure of BeCoSi2Sn at the meta-GGA SCAN level of DFT.

The value obtained for the formation energy without anion corrections is 0.438 eV per atom. As for the magnetization: 0.0 μB per cell.

a = 4.332 Å, b = 4.332 Å, c = 4.254 Å
α = 90.00°, β = 90.00°, γ = 90.00°
Space group P4/mmm (No. 123)
Unique sites:
Be (0.000, 0.000, 0.000) [1 per cell]
Co (0.000, 0.000, 0.500) [1 per cell]
Si (0.000, 0.500, 0.500) [2 per cell]
Sn (0.500, 0.500, 0.000) [1 per cell]

***

Computed, not measured: a PBEsol-optimized structure of ZnCu2Ni at the meta-GGA SCAN level of DFT.

As for the magnetization: 0.0 μB per cell. As for the formation energy from the elements: -0.028 eV per atom.

a = 2.843 Å, b = 4.029 Å, c = 7.998 Å
α = 90.00°, β = 90.00°, γ = 90.00°
Space group Imm2 (No. 44)
Unique sites:
Zn (0.000, 0.000, 0.000) [2 per cell]
Cu (0.000, 0.000, 0.501) [2 per cell]
Cu (0.000, 0.500, 0.751) [2 per cell]
Ni (0.000, 0.500, 0.252) [2 per cell]

***

Computed, not measured: a PBEsol-optimized structure of Mg2RhAu at the meta-GGA SCAN level of DFT.

As for the magnetization: 0.0 μB per cell. As for the formation energy from the elements: -0.704 eV per atom.

a = 4.261 Å, b = 4.261 Å, c = 3.456 Å
α = 90.00°, β = 90.00°, γ = 90.00°
Space group P4/mmm (No. 123)
Unique sites:
Mg (0.000, 0.500, 0.000) [2 per cell]
Rh (0.000, 0.000, 0.500) [1 per cell]
Au (0.500, 0.500, 0.500) [1 per cell]

***

Computed, not measured: a PBEsol-optimized structure of YAg3Sb at the meta-GGA SCAN level of DFT.

The value obtained for the formation energy without anion corrections is 1.060 eV per atom. As for the magnetization: 0.0 μB per cell.

a = 5.212 Å, b = 5.212 Å, c = 5.212 Å
α = 90.00°, β = 90.00°, γ = 90.00°
Space group Pm-3m (No. 221)
Unique sites:
Y (0.000, 0.000, 0.000) [1 per cell]
Ag (0.000, 0.000, 0.500) [3 per cell]
Sb (0.500, 0.500, 0.500) [1 per cell]

***

Computed, not measured: a PBEsol-optimized structure of LaZr2Cl at the meta-GGA SCAN level of DFT.

The excess energy over the best structure of this formula in the dataset comes out at 0 meV/atom. The value obtained for the formation energy without anion corrections is -0.269 eV per atom. As for the magnetization: 0.0 μB per cell.

a = 3.559 Å, b = 5.589 Å, c = 4.674 Å
α = 90.00°, β = 92.06°, γ = 90.00°
Space group P2/m (No. 10)
Unique sites:
La (0.000, 0.000, 0.000) [1 per cell]
Zr (0.278, 0.500, 0.763) [2 per cell]
Cl (0.500, 0.000, 0.500) [1 per cell]

***

Computed, not measured: a PBEsol-optimized structure of SiBAuN2 at the meta-GGA SCAN level of DFT.

The value obtained for the formation energy without anion corrections is 1.258 eV per atom. As for the magnetization: 0.0 μB per cell.

a = 3.276 Å, b = 3.276 Å, c = 5.890 Å
α = 90.00°, β = 90.00°, γ = 90.00°
Space group P4/mmm (No. 123)
Unique sites:
Si (0.000, 0.000, 0.000) [1 per cell]
B (0.000, 0.000, 0.500) [1 per cell]
Au (0.500, 0.500, 0.000) [1 per cell]
N (0.000, 0.500, 0.500) [2 per cell]

***

Computed, not measured: a PBEsol-optimized structure of InRu3N at the meta-GGA SCAN level of DFT.

The value obtained for the formation energy without anion corrections is 0.100 eV per atom. As for the magnetization: 0.0 μB per cell.

a = 4.037 Å, b = 4.037 Å, c = 4.037 Å
α = 90.00°, β = 90.00°, γ = 90.00°
Space group Pm-3m (No. 221)
Unique sites:
In (0.000, 0.000, 0.000) [1 per cell]
Ru (0.000, 0.500, 0.500) [3 per cell]
N (0.500, 0.500, 0.500) [1 per cell]

***

Computed, not measured: a PBEsol-optimized structure of Fe2CoCu at the meta-GGA SCAN level of DFT.

The excess energy over the best structure of this formula in the dataset comes out at 63 meV/atom. As for the magnetization: 28.8 μB per cell. As for the formation energy from the elements: 0.078 eV per atom.

a = 5.608 Å, b = 5.608 Å, c = 5.608 Å
α = 90.00°, β = 90.00°, γ = 90.00°
Space group F-43m (No. 216)
Unique sites:
Fe (0.000, 0.000, 0.000) [4 per cell]
Fe (0.250, 0.250, 0.250) [4 per cell]
Co (0.000, 0.000, 0.500) [4 per cell]
Cu (0.250, 0.250, 0.750) [4 per cell]